# PBE MgZnGe2Ru, relaxed
data_MgZnGe2Ru
_cell_length_a 4.723
_cell_length_b 5.137
_cell_length_c 4.723
_cell_angle_alpha 90.00
_cell_angle_beta 90.00
_cell_angle_gamma 90.00
_space_group_name_H-M_alt 'P 1'
_space_group_IT_number 1
_space_group_name_Hall 'P 1'
loop_
_atom_site_label
_atom_site_type_symbol
_atom_site_fract_x
_atom_site_fract_y
_atom_site_fract_z
Mg1 Mg 0.000 0.500 0.000
Ru1 Ru 0.000 0.000 0.000
Ge1 Ge 0.000 0.000 0.500
Ge2 Ge 0.500 0.000 0.000
Zn1 Zn 0.500 0.500 0.500
# M_tot in μB/f.u.: 0.0
# ΔE_f in kJ/mol of formula units: 54.6
# DOS at the Fermi energy in states/eV/cell: 1.5